Version 1
A relaxed ThMgTe2 crystal. Source: Alexandria, functional PBE-GGA.

Lattice parameters (Å, degrees): 3.890 3.890 7.401 90.00 90.00 90.00
Fractional coordinates of all 4 atoms:
1 Th 0.000 0.000 0.000
2 Mg 0.000 0.000 0.500
3 Te 0.500 0.500 0.244
4 Te 0.500 0.500 0.756

Summary:
V, A^3/atom: 27.99
Space group: P4/mmm

Version 2
A relaxed ThMgTe2 crystal. Source: Alexandria, functional PBE-GGA.

Lattice parameters (Å, degrees): 10.037 10.037 10.037 24.43 24.43 24.43
Fractional coordinates of all 4 atoms:
1 Th 0.000 0.000 0.000
2 Mg 0.500 0.500 0.500
3 Te 0.401 0.401 0.401
4 Te 0.599 0.599 0.599

Summary:
V, A^3/atom: 38.00
Space group: R-3m

We find version 1 to be the most stable, with the next structure 205 meV per atom higher.

Version 1
A relaxed ThMgTe2 crystal. Source: Alexandria, functional PBE-GGA.

Lattice parameters (Å, degrees): 5.251 5.251 3.919 90.00 90.00 90.00
Fractional coordinates of all 4 atoms:
1 Th 0.000 0.000 0.000
2 Mg 0.500 0.500 0.000
3 Te 0.000 0.500 0.500
4 Te 0.500 0.000 0.500

Summary:
V, A^3/atom: 27.01
Space group: P4/mmm

Version 2
A relaxed ThMgTe2 crystal. Source: Alexandria, functional PBE-GGA.

Lattice parameters (Å, degrees): 8.568 8.568 8.568 27.45 27.45 27.45
Fractional coordinates of all 4 atoms:
1 Th 0.000 0.000 0.000
2 Mg 0.835 0.835 0.835
3 Te 0.423 0.423 0.423
4 Te 0.578 0.578 0.578

Summary:
V, A^3/atom: 29.49
Space group: R3m

We find version 2 to be the most stable, with the next structure 11 meV per atom higher.

Version 1
A relaxed Mg2Tl2Te crystal. Source: Alexandria, functional PBE-GGA.

Lattice parameters (Å, degrees): 7.765 7.765 4.688 90.00 90.00 90.00
Fractional coordinates of all 10 atoms:
1 Mg 0.140 0.360 0.000
2 Mg 0.360 0.860 0.000
3 Mg 0.640 0.140 0.000
4 Mg 0.860 0.640 0.000
5 Tl 0.158 0.658 0.500
6 Tl 0.342 0.158 0.500
7 Tl 0.658 0.842 0.500
8 Tl 0.842 0.342 0.500
9 Te 0.000 0.000 0.000
10 Te 0.500 0.500 0.000

Summary:
V, A^3/atom: 28.26
Space group: P4/mbm

Version 2
A relaxed Mg2Tl2Te crystal. Source: Alexandria, functional PBE-GGA.

Lattice parameters (Å, degrees): 9.026 9.026 3.342 90.00 90.00 90.00
Fractional coordinates of all 10 atoms:
1 Mg 0.172 0.328 0.000
2 Mg 0.328 0.828 0.000
3 Mg 0.672 0.172 0.000
4 Mg 0.828 0.672 0.000
5 Tl 0.130 0.630 0.500
6 Tl 0.370 0.130 0.500
7 Tl 0.630 0.870 0.500
8 Tl 0.870 0.370 0.500
9 Te 0.000 0.000 0.500
10 Te 0.500 0.500 0.500

Summary:
V, A^3/atom: 27.22
Space group: P4/mbm

We find version 1 to be the most stable, with the next structure 132 meV per atom higher.

Version 1
A relaxed Mg2TlTe2 crystal. Source: Alexandria, functional PBE-GGA.

Lattice parameters (Å, degrees): 8.281 8.281 3.932 90.00 90.00 90.00
Fractional coordinates of all 10 atoms:
1 Mg 0.133 0.367 0.000
2 Mg 0.367 0.867 0.000
3 Mg 0.633 0.133 0.000
4 Mg 0.867 0.633 0.000
5 Tl 0.000 0.000 0.000
6 Tl 0.500 0.500 0.000
7 Te 0.166 0.666 0.500
8 Te 0.334 0.166 0.500
9 Te 0.666 0.834 0.500
10 Te 0.834 0.334 0.500

Summary:
V, A^3/atom: 26.96
Space group: P4/mbm

Version 2
A relaxed Mg2TlTe2 crystal. Source: Alexandria, functional PBE-GGA.

Lattice parameters (Å, degrees): 8.558 8.558 3.861 90.00 90.00 90.00
Fractional coordinates of all 10 atoms:
1 Mg 0.141 0.359 0.000
2 Mg 0.359 0.859 0.000
3 Mg 0.641 0.141 0.000
4 Mg 0.859 0.641 0.000
5 Tl 0.000 0.000 0.500
6 Tl 0.500 0.500 0.500
7 Te 0.155 0.655 0.500
8 Te 0.345 0.155 0.500
9 Te 0.655 0.845 0.500
10 Te 0.845 0.345 0.500

Summary:
V, A^3/atom: 28.28
Space group: P4/mbm

We find version 1 to be the most stable, with the next structure 52 meV per atom higher.

Version 1
A relaxed TmMgTe2 crystal. Source: Alexandria, functional PBE-GGA.

Lattice parameters (Å, degrees): 4.319 4.319 27.264 90.00 90.00 120.00
Fractional coordinates of all 12 atoms:
1 Tm 0.000 0.671 0.333
2 Tm 0.329 0.329 0.000
3 Tm 0.671 0.000 0.667
4 Mg 0.000 0.664 0.833
5 Mg 0.336 0.336 0.500
6 Mg 0.664 0.000 0.167
7 Te 0.004 0.667 0.730
8 Te 0.333 0.338 0.397
9 Te 0.338 0.333 0.603
10 Te 0.662 0.996 0.064
11 Te 0.667 0.004 0.270
12 Te 0.996 0.662 0.936

Summary:
V, A^3/atom: 36.70
Space group: P3_221

Version 2
A relaxed TmMgTe2 crystal. Source: Alexandria, functional PBE-GGA.

Lattice parameters (Å, degrees): 7.779 7.779 7.779 31.05 31.05 31.05
Fractional coordinates of all 4 atoms:
1 Tm 0.000 0.000 0.000
2 Mg 0.165 0.165 0.165
3 Te 0.577 0.577 0.577
4 Te 0.753 0.753 0.753

Summary:
V, A^3/atom: 27.77
Space group: R3m

We find version 2 to be the most stable, with the next structure 205 meV per atom higher.

Version 1
A relaxed Mg3VTe crystal. Source: Alexandria, functional PBE-GGA.

Lattice parameters (Å, degrees): 5.398 5.398 5.398 90.00 90.00 90.00
Fractional coordinates of all 5 atoms:
1 Mg 0.000 0.000 0.500
2 Mg 0.000 0.500 0.000
3 Mg 0.500 0.000 0.000
4 V 0.500 0.500 0.500
5 Te 0.000 0.000 0.000

Summary:
V, A^3/atom: 31.46
Space group: Pm-3m

Version 2
A relaxed Mg3VTe crystal. Source: Alexandria, functional PBE-GGA.

Lattice parameters (Å, degrees): 5.264 5.264 5.264 90.00 90.00 90.00
Fractional coordinates of all 5 atoms:
1 Mg 0.000 0.000 0.500
2 Mg 0.000 0.500 0.000
3 Mg 0.500 0.000 0.000
4 V 0.000 0.000 0.000
5 Te 0.500 0.500 0.500

Summary:
V, A^3/atom: 29.18
Space group: Pm-3m

We find version 2 to be the most stable, with the next structure 77 meV per atom higher.

Version 1
A relaxed MgVTe3 crystal. Source: Alexandria, functional PBE-GGA.

Lattice parameters (Å, degrees): 5.404 5.404 5.404 90.00 90.00 90.00
Fractional coordinates of all 5 atoms:
1 Mg 0.000 0.000 0.000
2 V 0.500 0.500 0.500
3 Te 0.000 0.000 0.500
4 Te 0.000 0.500 0.000
5 Te 0.500 0.000 0.000

Summary:
V, A^3/atom: 31.56
Space group: Pm-3m

Version 2
A relaxed MgVTe3 crystal. Source: Alexandria, functional PBE-GGA.

Lattice parameters (Å, degrees): 5.291 5.291 5.291 90.00 90.00 90.00
Fractional coordinates of all 5 atoms:
1 Mg 0.000 0.000 0.000
2 V 0.500 0.500 0.500
3 Te 0.000 0.500 0.500
4 Te 0.500 0.000 0.500
5 Te 0.500 0.500 0.000

Summary:
V, A^3/atom: 29.62
Space group: Pm-3m

We find version 2 to be the most stable, with the next structure 460 meV per atom higher.

Version 1
A relaxed MgTeW2 crystal. Source: Alexandria, functional PBE-GGA.

Lattice parameters (Å, degrees): 2.866 2.866 9.750 90.00 90.00 110.22
Fractional coordinates of all 4 atoms:
1 Mg 0.000 0.000 0.000
2 Te 0.000 0.000 0.500
3 W 0.500 0.500 0.243
4 W 0.500 0.500 0.757

Summary:
V, A^3/atom: 18.78
Space group: Cmmm

Version 2
A relaxed MgTeW2 crystal. Source: Alexandria, functional PBE-GGA.

Lattice parameters (Å, degrees): 5.104 5.104 4.718 97.40 97.40 37.16
Fractional coordinates of all 4 atoms:
1 Mg 0.000 0.000 0.000
2 Te 0.500 0.500 0.500
3 W 0.249 0.249 0.773
4 W 0.751 0.751 0.227

Summary:
V, A^3/atom: 18.39
Space group: C2/m

Version 3
A relaxed MgTeW2 crystal. Source: Alexandria, functional PBE-GGA.

Lattice parameters (Å, degrees): 5.015 5.015 5.015 130.59 130.59 72.47
Fractional coordinates of all 4 atoms:
1 Mg 0.000 0.000 0.000
2 Te 0.250 0.750 0.500
3 W 0.500 0.500 0.000
4 W 0.750 0.250 0.500

Summary:
V, A^3/atom: 17.77
Space group: I-4m2

We find version 2 to be the most stable, with the next structure 103 meV per atom higher.